Run 1
Entry from Alexandria via LeMat-Bulk: crystalline TlSe2BrN at its relaxed geometry (GGA-PBE).

Cell lengths 5.766, 5.766, 3.691 Å; angles 90.00, 90.00, 90.00 degrees
Positions (direct):
Tl  0.000  0.000  0.000
Se  0.000  0.500  0.500
Se  0.500  0.000  0.500
Br  0.500  0.500  0.500
N  0.500  0.500  0.000

Output
Spin magnetization, μB/f.u.: 0.00
Space group: P4/mmm, No. 123

---

Run 2
Entry from Alexandria via LeMat-Bulk: crystalline TlSe2BrN at its relaxed geometry (GGA-PBE).

Cell lengths 4.264, 4.264, 7.700 Å; angles 90.00, 90.00, 90.00 degrees
Positions (direct):
Tl  0.000  0.000  0.000
Se  0.000  0.500  0.500
Se  0.500  0.000  0.500
Br  0.500  0.500  0.000
N  0.500  0.500  0.500

Output
Spin magnetization, μB/f.u.: 0.00
Space group: P4/mmm, No. 123

---

Run 3
Entry from Alexandria via LeMat-Bulk: crystalline TlSe2BrN at its relaxed geometry (GGA-PBE).

Cell lengths 5.571, 5.571, 5.816 Å; angles 90.00, 90.00, 90.00 degrees
Positions (direct):
Tl  0.000  0.000  0.000
Se  0.000  0.500  0.000
Se  0.500  0.000  0.000
Br  0.000  0.000  0.500
N  0.500  0.500  0.500

Output
Spin magnetization, μB/f.u.: 5.31
Space group: P4/mmm, No. 123

---

Run 4
Entry from Alexandria via LeMat-Bulk: crystalline TlSe2BrN at its relaxed geometry (GGA-PBE).

Cell lengths 5.694, 5.694, 4.493 Å; angles 90.00, 90.00, 90.00 degrees
Positions (direct):
Tl  0.000  0.000  0.000
Se  0.000  0.500  0.000
Se  0.500  0.000  0.000
Br  0.500  0.500  0.500
N  0.000  0.000  0.500

Output
Spin magnetization, μB/f.u.: 5.18
Space group: P4/mmm, No. 123

---

Which one sits at the bottom of the stability order? run 3 does.